Record 1
Rb2NdB2Se6: relaxed, GGA-PBE.

It has space group C2/m (No. 12), with a = 12.624 Å, b = 6.944 Å, c = 9.111 Å, α = 90.00°, β = 119.51° and γ = 90.00°. The distinct sites, in fractional coordinates, are Rb at (0.204, 0.000, 0.196), Nd at (0.000, 0.000, 0.500), B at (0.066, 0.500, 0.278), Se at (0.033, 0.265, 0.777) and Se at (0.239, 0.500, 0.352).

The uncorrected formation energy is -764 meV/atom.

Record 2
MnZnTcPt: relaxed, GGA-PBE.

It has space group F-43m (No. 216), with a = 6.078 Å, b = 6.078 Å, c = 6.078 Å, α = 90.00°, β = 90.00° and γ = 90.00°. The distinct sites, in fractional coordinates, are Mn at (0.000, 0.000, 0.000), Zn at (0.000, 0.000, 0.500), Tc at (0.250, 0.250, 0.750) and Pt at (0.250, 0.250, 0.250).

As for the formation energy: -0.747 eV/f.u.

Record 3
NaAcTlCu: relaxed, GGA-PBE.

It has space group F-43m (No. 216), with a = 7.663 Å, b = 7.663 Å, c = 7.663 Å, α = 90.00°, β = 90.00° and γ = 90.00°. The distinct sites, in fractional coordinates, are Na at (0.000, 0.000, 0.000), Ac at (0.000, 0.000, 0.500), Tl at (0.250, 0.250, 0.750) and Cu at (0.250, 0.250, 0.250).

As for the formation energy: -0.098 eV/f.u.

Record 4
LaTb4Co: relaxed, GGA-PBE.

It has space group C2/m (No. 12), with a = 12.031 Å, b = 3.579 Å, c = 8.510 Å, α = 90.00°, β = 110.80° and γ = 90.00°. The distinct sites, in fractional coordinates, are La at (0.000, 0.000, 0.000), Tb at (0.124, 0.500, 0.383), Tb at (0.172, 0.500, 0.791) and Co at (0.000, 0.000, 0.500).

As for the formation energy: -0.129 eV/f.u.

Record 5
Sc7AsS5: relaxed, GGA-PBE.

It has space group Cmcm (No. 63), with a = 3.683 Å, b = 12.085 Å, c = 21.651 Å, α = 90.00°, β = 90.00° and γ = 90.00°. The distinct sites, in fractional coordinates, are Sc at (0.000, 0.031, 0.250), Sc at (0.000, 0.139, 0.538), Sc at (0.000, 0.314, 0.178), Sc at (0.000, 0.408, 0.616), As at (0.000, 0.307, 0.750), S at (0.000, 0.049, 0.644), S at (0.000, 0.223, 0.072) and S at (0.000, 0.500, 0.000).

The uncorrected formation energy is -1675 meV/atom.

Record 6
Hf2Ga2Pd: relaxed, GGA-PBE.

It has space group Immm (No. 71), with a = 3.852 Å, b = 5.632 Å, c = 8.269 Å, α = 90.00°, β = 90.00° and γ = 90.00°. The distinct sites, in fractional coordinates, are Hf at (0.000, 0.000, 0.212), Ga at (0.000, 0.281, 0.500) and Pd at (0.000, 0.500, 0.000).

As for the formation energy: -2.726 eV/f.u. The energy above the most stable polymorph in this dataset is 92 meV/atom.

Listing spin magnetization for the structures above in their given order: 0.00; 2.11; 0.00; 0.00; 0.00; 0.00 μB per formula unit.
Listing raw total energy for the structures above in their given order: -0.3299; -0.5071; -0.2203; -0.3759; -0.5167; -0.4980 Ry/atom.